First-principles (PBE+U) data for crystalline AlFe2O4 at its relaxed geometry, as listed in Alexandria.

Results
theoretical density: 4562 kg/m³
total DFT energy (no corrections): -6.9672 eV per atom
V: 295.1 Å³/cell

a b c (Å): 5.855 5.992 8.410
angles (deg): 90.00 90.00 90.00
Space group Imma (No. 74)
Unique sites:
Al 0.000 0.250 0.132
Fe 0.000 0.000 0.500
Fe 0.250 0.250 0.750
O 0.000 0.006 0.257
O 0.246 0.250 0.493

First-principles (PBE+U) data for crystalline Al4FeO7 at its relaxed geometry, as listed in Alexandria.

Results
theoretical density: 3214 kg/m³
total DFT energy (no corrections): -7.3107 eV per atom
V: 569.9 Å³/cell

a b c (Å): 12.759 7.425 6.016
angles (deg): 90.00 90.00 90.00
Space group Cmcm (No. 63)
Unique sites:
Al 0.114 0.166 0.250
Al 0.193 0.500 0.000
Fe 0.000 0.241 0.750
O 0.000 0.032 0.250
O 0.117 0.304 0.011
O 0.229 0.021 0.250

First-principles (PBE+U) data for crystalline Al2Fe2O7 at its relaxed geometry, as listed in Alexandria.

Results
theoretical density: 4550 kg/m³
total DFT energy (no corrections): -6.4175 eV per atom
V: 810.6 Å³/cell

a b c (Å): 9.324 9.324 9.324
angles (deg): 90.00 90.00 90.00
Space group Fd-3m (No. 227, origin choice 2)
Unique sites:
Al 0.000 0.000 0.000
Fe 0.000 0.000 0.500
O 0.097 0.375 0.875
O 0.125 0.125 0.125

First-principles (PBE+U) data for crystalline Al2FeO4 at its relaxed geometry, as listed in Alexandria.

Results
theoretical density: 4164 kg/m³
total DFT energy (no corrections): -7.0808 eV per atom
V: 415.8 Å³/cell

a b c (Å): 5.803 5.808 14.240
angles (deg): 90.06 90.02 119.96
Space group P1 (No. 1)
Unique sites:
Al 0.000 0.000 0.000
Al 0.000 0.493 0.000
Al 0.167 0.827 0.789
Al 0.168 0.828 0.165
Al 0.170 0.327 0.666
Al 0.334 0.160 0.331
Al 0.334 0.661 0.331
Al 0.499 0.492 0.497
Al 0.506 0.999 0.000
Al 0.664 0.327 0.666
Al 0.664 0.822 0.666
Al 0.833 0.660 0.331
Fe 0.166 0.826 0.540
Fe 0.503 0.496 0.120
Fe 0.503 0.499 0.876
Fe 0.832 0.158 0.459
Fe 0.833 0.161 0.835
Fe 0.836 0.162 0.209
O 0.020 0.536 0.253
O 0.020 0.972 0.254
O 0.139 0.316 0.928
O 0.165 0.825 0.400
O 0.168 0.830 0.917
O 0.206 0.348 0.409
O 0.311 0.118 0.077
O 0.313 0.686 0.076
O 0.354 0.201 0.586
O 0.355 0.639 0.586
O 0.459 0.973 0.255
O 0.499 0.491 0.734
O 0.500 0.493 0.262
O 0.504 0.995 0.741
O 0.646 0.785 0.410
O 0.647 0.348 0.410
O 0.682 0.857 0.930
O 0.683 0.316 0.929
O 0.790 0.639 0.586
O 0.832 0.158 0.604
O 0.836 0.165 0.070
O 0.881 0.688 0.076
O 0.997 0.994 0.741
O 0.998 0.489 0.741

First-principles (PBE+U) data for crystalline AlFe2O at its relaxed geometry, as listed in Alexandria.

Results
theoretical density: 4821 kg/m³
total DFT energy (no corrections): -4.4111 eV per atom
V: 213.1 Å³/cell

a b c (Å): 5.973 5.973 5.973
angles (deg): 90.00 90.00 90.00
Space group Fm-3m (No. 225)
Unique sites:
Al 0.000 0.000 0.000
Fe 0.250 0.250 0.250
O 0.000 0.000 0.500

First-principles (PBE+U) data for crystalline AlFe3O at its relaxed geometry, as listed in Alexandria.

Results
theoretical density: 5087 kg/m³
total DFT energy (no corrections): -4.7740 eV per atom
V: 68.7 Å³/cell

a b c (Å): 4.096 4.096 4.096
angles (deg): 90.00 90.00 90.00
Space group Pm-3m (No. 221)
Unique sites:
Al 0.000 0.000 0.000
Fe 0.000 0.500 0.500
O 0.500 0.500 0.500

no.,magnetic moment (μB/cell)
1,36.00
2,16.00
3,31.93
4,2.10
5,22.50
6,10.30